[1]
Rb2ScPt | PBE | optimized geometry

Cell: 5.7411 5.7411 5.7411 Å, 60.00 60.00 60.00°
Sites, in units of the cell vectors:
1 Rb 0.2500 0.2500 0.2500
2 Rb 0.7500 0.7500 0.7500
3 Sc 0.0000 0.0000 0.0000
4 Pt 0.5000 0.5000 0.5000

Summary:
- space-group type = Fm-3m (225)
- crystal system = cubic
- DFT formation energy (meV/atom) = 828
- DFT total energy (eV per atom) = -2.75
- excess energy over the best structure of this formula in the dataset (eV per formula unit) = 2.60

[2]
RbSc2Pt2 | PBE | optimized geometry

Cell: 8.3703 8.3703 3.1888 Å, 90.00 90.00 90.00°
Sites, in units of the cell vectors:
1 Rb 0.0000 0.0000 0.0000
2 Rb 0.5000 0.5000 0.0000
3 Sc 0.1348 0.3652 0.5000
4 Sc 0.3652 0.8652 0.5000
5 Sc 0.6348 0.1348 0.5000
6 Sc 0.8652 0.6348 0.5000
7 Pt 0.1414 0.6414 0.0000
8 Pt 0.3586 0.1414 0.0000
9 Pt 0.6414 0.8586 0.0000
10 Pt 0.8586 0.3586 0.0000

Summary:
- space-group type = P4/mbm (127)
- crystal system = tetragonal
- DFT formation energy (meV/atom) = -578
- DFT total energy (eV per atom) = -5.72
- excess energy over the best structure of this formula in the dataset (eV per formula unit) = 0.44

[3]
Rb2ScPt2 | PBE | optimized geometry

Cell: 6.9624 6.9624 5.8683 Å, 90.00 90.00 90.00°
Sites, in units of the cell vectors:
1 Rb 0.1716 0.3284 0.0000
2 Rb 0.3284 0.8284 0.0000
3 Rb 0.6716 0.1716 0.0000
4 Rb 0.8284 0.6716 0.0000
5 Sc 0.0000 0.0000 0.5000
6 Sc 0.5000 0.5000 0.5000
7 Pt 0.1337 0.6337 0.5000
8 Pt 0.3663 0.1337 0.5000
9 Pt 0.6337 0.8663 0.5000
10 Pt 0.8663 0.3663 0.5000

Summary:
- space-group type = P4/mbm (127)
- crystal system = tetragonal
- DFT formation energy (meV/atom) = -137
- DFT total energy (eV per atom) = -4.21

[4]
Rb2ScPt | PBE | optimized geometry

Cell: 9.4424 9.4424 9.4424 Å, 93.96 93.96 149.53°
Sites, in units of the cell vectors:
1 Rb 0.3750 0.2179 0.3429
2 Rb 0.7821 0.1250 0.1571
3 Rb 0.8750 0.0321 0.6571
4 Rb 0.9679 0.6250 0.8429
5 Sc 0.2500 0.7500 0.5000
6 Sc 0.5000 0.5000 0.0000
7 Pt 0.0000 0.0000 0.0000
8 Pt 0.7500 0.2500 0.5000

Summary:
- space-group type = I-42d (122)
- crystal system = tetragonal
- DFT formation energy (meV/atom) = 177
- DFT total energy (eV per atom) = -3.40
- excess energy over the best structure of this formula in the dataset (eV per formula unit) = 0.00

Please write out number 4 again, unchanged.
Rb2ScPt | PBE | optimized geometry

Cell: 9.4424 9.4424 9.4424 Å, 93.96 93.96 149.53°
Sites, in units of the cell vectors:
1 Rb 0.3750 0.2179 0.3429
2 Rb 0.7821 0.1250 0.1571
3 Rb 0.8750 0.0321 0.6571
4 Rb 0.9679 0.6250 0.8429
5 Sc 0.2500 0.7500 0.5000
6 Sc 0.5000 0.5000 0.0000
7 Pt 0.0000 0.0000 0.0000
8 Pt 0.7500 0.2500 0.5000

Summary:
- space-group type = I-42d (122)
- crystal system = tetragonal
- DFT formation energy (meV/atom) = 177
- DFT total energy (eV per atom) = -3.40
- excess energy over the best structure of this formula in the dataset (eV per formula unit) = 0.00